This record from Alexandria describes a relaxed structure of Pd9Pb2Au. The functional is GGA-PBE.

Properties
calculated total energy	-4.975	eV/atom
DOS(E_F)	12.83	states/eV per cell
theoretical density	12.860	g/cm3
magnetic moment	0.00	μB per formula unit
DFT formation energy	-0.19	eV/atom

a = 4.088 Å, b = 4.088 Å, c = 12.126 Å
α = 90.00°, β = 90.00°, γ = 90.00°
Space group P4/mmm (No. 123)
Unique sites:
Pd 0.000 0.000 0.000 x1
Pd 0.000 0.000 0.332 x2
Pd 0.000 0.500 0.162 x4
Pd 0.000 0.500 0.500 x2
Pb 0.500 0.500 0.328 x2
Au 0.500 0.500 0.000 x1

=====

This record from Alexandria describes a relaxed structure of Pd2PbAu2. The functional is GGA-PBE.

Properties
calculated total energy	-4.163	eV/atom
DOS(E_F)	5.14	states/eV per cell
theoretical density	13.959	g/cm3
ΔE to the lowest computed polymorph	105.4	meV per atom
magnetic moment	0.00	μB per formula unit
DFT formation energy	-0.03	eV/atom

a = 7.760 Å, b = 7.760 Å, c = 3.216 Å
α = 90.00°, β = 90.00°, γ = 90.00°
Space group P4/mbm (No. 127)
Unique sites:
Pd 0.161 0.339 0.000 x4
Pb 0.000 0.000 0.500 x2
Au 0.134 0.634 0.500 x4

=====

This record from Alexandria describes a relaxed structure of Pd4Pb7Au. The functional is GGA-PBE.

Properties
calculated total energy	-4.256	eV/atom
DOS(E_F)	10.50	states/eV per cell
theoretical density	11.787	g/cm3
magnetic moment	0.00	μB per formula unit
DFT formation energy	-0.09	eV/atom

a = 14.150 Å, b = 5.575 Å, c = 9.082 Å
α = 90.00°, β = 125.39°, γ = 90.00°
Space group C2/m (No. 12)
Unique sites:
Pd 0.025 0.000 0.198 x4
Pd 0.203 0.000 0.845 x4
Pb 0.000 0.000 0.500 x2
Pb 0.058 0.500 0.873 x4
Pb 0.209 0.000 0.160 x4
Pb 0.222 0.500 0.392 x4
Au 0.000 0.500 0.500 x2

=====

This record from Alexandria describes a relaxed structure of Pd6Pb3Au. The functional is GGA-PBE.

Properties
calculated total energy	-4.737	eV/atom
DOS(E_F)	12.10	states/eV per cell
theoretical density	12.965	g/cm3
ΔE to the lowest computed polymorph	0.0	meV per atom
magnetic moment	0.00	μB per formula unit
DFT formation energy	-0.18	eV/atom

a = 8.240 Å, b = 4.739 Å, c = 10.130 Å
α = 90.00°, β = 109.35°, γ = 90.00°
Space group P2_1/m (No. 11)
Unique sites:
Pd 0.001 0.250 0.333 x2
Pd 0.019 0.250 0.833 x2
Pd 0.188 0.250 0.637 x2
Pd 0.218 0.750 0.982 x2
Pd 0.376 0.750 0.769 x2
Pd 0.387 0.250 0.424 x2
Pb 0.158 0.250 0.127 x2
Pb 0.190 0.750 0.473 x2
Pb 0.448 0.750 0.275 x2
Au 0.393 0.250 0.944 x2

=====

> The highest theoretical density belongs to which entry?

Pd2PbAu2

=====

> Which formula does entry 3 have?

Pd4Pb7Au

=====

> The lowest theoretical density belongs to which entry?

Pd4Pb7Au

=====

Please write out number 4 again, unchanged.
This record from Alexandria describes a relaxed structure of Pd6Pb3Au. The functional is GGA-PBE.

Properties
calculated total energy	-4.737	eV/atom
DOS(E_F)	12.10	states/eV per cell
theoretical density	12.965	g/cm3
ΔE to the lowest computed polymorph	0.0	meV per atom
magnetic moment	0.00	μB per formula unit
DFT formation energy	-0.18	eV/atom

a = 8.240 Å, b = 4.739 Å, c = 10.130 Å
α = 90.00°, β = 109.35°, γ = 90.00°
Space group P2_1/m (No. 11)
Unique sites:
Pd 0.001 0.250 0.333 x2
Pd 0.019 0.250 0.833 x2
Pd 0.188 0.250 0.637 x2
Pd 0.218 0.750 0.982 x2
Pd 0.376 0.750 0.769 x2
Pd 0.387 0.250 0.424 x2
Pb 0.158 0.250 0.127 x2
Pb 0.190 0.750 0.473 x2
Pb 0.448 0.750 0.275 x2
Au 0.393 0.250 0.944 x2